Entry 1:
A plane-wave DFT calculation with PBE was carried out for a relaxed structure of Tb2Pu2Rh3.

Unit cell a=4.182 b=7.058 c=5.818 alpha=86.63 beta=89.96 gamma=107.24
Last column: magnetic moment on the atom in μB.
Positions (direct):
Pu: 0.100 0.201 0.397  5.19
Pu: 0.900 0.799 0.603  5.19
Rh: 0.729 0.458 0.341  -0.20
Rh: 0.271 0.542 0.659  -0.20
Rh: 0.000 0.000 0.000  -0.10
Tb: 0.355 0.711 0.110  0.07
Tb: 0.645 0.289 0.890  0.07

Properties
The total DFT energy (no corrections) comes out at -63.5 eV for the cell shown. The formation energy comes out at -0.51 eV/atom. The total moment comes out at 10.6 μB/f.u.


Entry 2:
A plane-wave DFT calculation with PBE was carried out for a relaxed structure of ErGeIr2.

Unit cell a=3.862 b=6.781 c=3.334 alpha=119.59 beta=90.00 gamma=90.00
Positions (direct):
Er: 0.500 0.500 0.000
Ir: 0.000 0.747 0.747
Ir: 0.000 0.253 0.253
Ge: 0.500 0.000 0.000

Properties
The total DFT energy (no corrections) comes out at -28.7 eV for the cell shown. The formation energy comes out at -0.46 eV/atom. The total moment comes out at 0.0 μB/f.u.


Entry 3:
A plane-wave DFT calculation with PBE was carried out for a relaxed structure of Nb4Si7Ni4.

Unit cell a=5.025 b=9.288 c=9.288 alpha=85.80 beta=74.31 gamma=74.31
Positions (direct):
Si: 0.709 0.291 0.291
Si: 0.000 0.291 0.709
Si: 0.751 0.000 0.000
Si: 0.292 0.415 0.000
Si: 0.249 0.000 0.000
Si: 0.093 0.407 0.407
Si: 0.708 0.585 0.000
Si: 0.292 0.000 0.415
Si: 0.500 0.407 0.593
Si: 0.500 0.593 0.407
Si: 0.708 0.000 0.585
Si: 0.291 0.709 0.709
Si: 0.907 0.593 0.593
Si: 0.000 0.709 0.291
Nb: 0.865 0.000 0.270
Nb: 0.865 0.270 0.000
Nb: 0.309 0.191 0.191
Nb: 0.500 0.809 0.191
Nb: 0.500 0.191 0.809
Nb: 0.135 0.000 0.730
Nb: 0.135 0.730 0.000
Nb: 0.691 0.809 0.809
Ni: 0.102 0.796 0.500
Ni: 0.102 0.500 0.796
Ni: 0.398 0.500 0.204
Ni: 0.602 0.796 0.500
Ni: 0.398 0.204 0.500
Ni: 0.898 0.204 0.500
Ni: 0.602 0.500 0.796
Ni: 0.898 0.500 0.204

Properties
The total DFT energy (no corrections) comes out at -222.1 eV for the cell shown. The total moment comes out at 0.0 μB/f.u. The energy above the most stable polymorph in this dataset comes out at 0.000 eV per atom. The value obtained for the energy relative to the elements, uncorrected is -0.644 eV per atom.


Entry 4:
A plane-wave DFT calculation with PBE was carried out for a relaxed structure of PRuRh.

Unit cell a=4.063 b=4.063 c=4.063 alpha=60.00 beta=60.00 gamma=60.00
Positions (direct):
P: 0.000 0.000 0.000
Rh: 0.500 0.500 0.500
Ru: 0.250 0.250 0.250

Properties
The total DFT energy (no corrections) comes out at -21.9 eV for the cell shown. The formation energy comes out at 0.03 eV/atom. The total moment comes out at 0.0 μB/f.u.


Entry 5:
A plane-wave DFT calculation with PBE was carried out for a relaxed structure of Ac3LaPm2P6.

Unit cell a=7.472 b=7.472 c=7.483 alpha=99.58 beta=99.58 gamma=120.00
Positions (direct):
P: 0.416 0.079 0.236
P: 0.742 0.742 0.236
P: 0.584 0.921 0.764
P: 0.258 0.258 0.764
P: 0.921 0.584 0.764
P: 0.079 0.416 0.236
Ac: 0.166 0.834 0.500
Ac: 0.500 0.500 0.500
Ac: 0.834 0.166 0.500
La: 0.000 0.000 0.000
Pm: 0.667 0.333 0.000
Pm: 0.333 0.667 0.000

Properties
The total DFT energy (no corrections) comes out at -77.2 eV for the cell shown. The formation energy comes out at -1.50 eV/atom. The total moment comes out at 0.0 μB/f.u.


Entry 6:
A plane-wave DFT calculation with PBE was carried out for a relaxed structure of Sr2Ga2Ag.

Unit cell a=7.587 b=7.587 c=4.843 alpha=90.00 beta=90.00 gamma=90.00
Positions (direct):
Ag: 0.000 0.000 0.000
Ag: 0.500 0.500 0.000
Sr: 0.176 0.676 0.500
Sr: 0.824 0.324 0.500
Sr: 0.324 0.176 0.500
Sr: 0.676 0.824 0.500
Ga: 0.623 0.123 0.000
Ga: 0.377 0.877 0.000
Ga: 0.123 0.377 0.000
Ga: 0.877 0.623 0.000

Properties
The total DFT energy (no corrections) comes out at -27.4 eV for the cell shown. The formation energy comes out at -0.29 eV/atom. The total moment comes out at 0.0 μB/f.u. The energy above the most stable polymorph in this dataset comes out at 0.097 eV per atom.


Which of these has the lowest total DFT energy (no corrections)?
Nb4Si7Ni4


The highest total moment belongs to which entry?
Tb2Pu2Rh3